1.
Ca3Be2P4H10O20: optimized geometry, PBEsol.

Unit cell a=6.9743 b=7.3096 c=15.0170 alpha=90.00 beta=90.00 gamma=96.04
Closest atoms and distances in Å follow each position.
Positions (direct):
Ca  0.0000  0.0000  0.0000  6 O 2.29-2.48
Ca  0.9576  0.1431  0.6928  7 O 2.29-2.55
Ca  0.0424  0.3569  0.1928  7 O 2.29-2.55
Ca  0.0000  0.5000  0.5000  6 O 2.29-2.48
Ca  0.9576  0.6431  0.8072  7 O 2.29-2.55
Ca  0.0424  0.8569  0.3072  7 O 2.29-2.55
Be  0.4516  0.1285  0.7097  4 O 1.60-1.63
Be  0.5484  0.3715  0.2097  4 O 1.60-1.63
Be  0.4516  0.6285  0.7903  4 O 1.60-1.63
Be  0.5484  0.8715  0.2903  4 O 1.60-1.63
P  0.3524  0.0211  0.1504  4 O 1.53-1.57
P  0.7640  0.2079  0.3482  4 O 1.53-1.56
P  0.2360  0.2921  0.8482  4 O 1.53-1.56
P  0.6476  0.4789  0.6504  4 O 1.53-1.57
P  0.3524  0.5211  0.3496  4 O 1.53-1.57
P  0.7640  0.7079  0.1518  4 O 1.53-1.56
P  0.2360  0.7921  0.6518  4 O 1.53-1.56
P  0.6476  0.9789  0.8496  4 O 1.53-1.57
H  0.7342  0.1299  0.5193  1 O 1.00
H  0.3771  0.0206  0.4163  1 O 1.00
H  0.4600  0.1297  0.9376  1 O 1.03
H  0.7171  0.2201  0.0842  1 O 1.00
H  0.8209  0.3580  0.0141  1 O 1.01
H  0.1791  0.1420  0.5141  1 O 1.01
H  0.2829  0.2799  0.5842  1 O 1.00
H  0.5400  0.3703  0.4376  1 O 1.03
H  0.6229  0.4794  0.9163  1 O 1.00
H  0.2658  0.3701  0.0193  1 O 1.00
H  0.7342  0.6299  0.9807  1 O 1.00
H  0.3771  0.5206  0.0837  1 O 1.00
H  0.4600  0.6297  0.5624  1 O 1.03
H  0.7171  0.7201  0.4158  1 O 1.00
H  0.8209  0.8580  0.4859  1 O 1.01
H  0.1791  0.6420  0.9859  1 O 1.01
H  0.2829  0.7799  0.9158  1 O 1.00
H  0.5400  0.8703  0.0624  1 O 1.03
H  0.6229  0.9794  0.5837  1 O 1.00
H  0.2658  0.8701  0.4807  1 O 1.00
O  0.7529  0.0243  0.5598  2 H 1.00
O  0.6038  0.0453  0.3539  1 P 1.55, 1 Be 1.60
O  0.6479  0.0897  0.7616  1 P 1.55, 1 Be 1.63
O  0.6020  0.1057  0.9296  1 H 1.03
O  0.9642  0.1508  0.3275  1 P 1.53
O  0.1478  0.0738  0.1373  1 P 1.53
O  0.2721  0.1532  0.7729  1 P 1.56, 1 Be 1.60
O  0.5068  0.1875  0.1488  1 P 1.54, 1 Be 1.63
O  0.2472  0.1920  0.9394  1 P 1.56, 1 H 1.60
O  0.8484  0.2647  0.0610  2 H 1.00-1.01
O  0.1516  0.2353  0.5610  2 H 1.00-1.01
O  0.7528  0.3080  0.4394  1 P 1.56, 1 H 1.60
O  0.4932  0.3125  0.6488  1 P 1.54, 1 Be 1.63
O  0.7279  0.3468  0.2729  1 P 1.56, 1 Be 1.60
O  0.8522  0.4262  0.6373  1 P 1.53
O  0.0358  0.3492  0.8275  1 P 1.53
O  0.3980  0.3943  0.4296  1 H 1.03
O  0.3521  0.4103  0.2616  1 P 1.55, 1 Be 1.63
O  0.3962  0.4547  0.8539  1 P 1.55, 1 Be 1.60
O  0.7529  0.5243  0.9402  2 H 1.00
O  0.2471  0.4757  0.0598  2 H 1.00
O  0.6038  0.5453  0.1461  1 P 1.55, 1 Be 1.60
O  0.6479  0.5897  0.7384  1 P 1.55, 1 Be 1.63
O  0.6020  0.6057  0.5704  1 H 1.03
O  0.9642  0.6508  0.1725  1 P 1.53
O  0.1478  0.5738  0.3627  1 P 1.53
O  0.2721  0.6532  0.7271  1 P 1.56, 1 Be 1.60
O  0.5068  0.6875  0.3512  1 P 1.54, 1 Be 1.63
O  0.2472  0.6920  0.5606  1 P 1.56, 1 H 1.60
O  0.8484  0.7647  0.4390  2 H 1.00-1.01
O  0.1516  0.7353  0.9390  2 H 1.00-1.01
O  0.7528  0.8080  0.0606  1 P 1.56, 1 H 1.60
O  0.4932  0.8125  0.8512  1 P 1.54, 1 Be 1.63
O  0.7279  0.8468  0.2271  1 P 1.56, 1 Be 1.60
O  0.8522  0.9262  0.8627  1 P 1.53
O  0.0358  0.8492  0.6725  1 P 1.53
O  0.3980  0.8943  0.0704  1 H 1.03
O  0.3521  0.9103  0.2384  1 P 1.55, 1 Be 1.63
O  0.3962  0.9547  0.6461  1 P 1.55, 1 Be 1.60
O  0.2471  0.9757  0.4402  2 H 1.00

Properties
- Electronic total energy: -6.61 eV/atom
- Space-group type: P2_1/c (14)

2.
Ca3Be2Si3H2O12: optimized geometry, PBEsol.

Unit cell a=9.8098 b=9.8098 c=9.7944 alpha=90.00 beta=90.00 gamma=90.00
Closest atoms and distances in Å follow each position.
Positions (direct):
Be  0.7129  0.9795  0.2760  4 O 1.62-1.66
Be  0.2871  0.0205  0.2760  4 O 1.62-1.66
Be  0.5205  0.2129  0.7760  4 O 1.62-1.66
Be  0.4795  0.7871  0.7760  4 O 1.62-1.66
Be  0.7871  0.5205  0.2240  4 O 1.62-1.66
Be  0.2129  0.4795  0.2240  4 O 1.62-1.66
Be  0.9795  0.2871  0.7240  4 O 1.62-1.66
Be  0.0205  0.7129  0.7240  4 O 1.62-1.66
Ca  0.6852  0.7074  0.0104  5 O 2.34-2.42
Ca  0.3148  0.2926  0.0104  5 O 2.34-2.42
Ca  0.7926  0.1852  0.5104  5 O 2.34-2.42
Ca  0.2074  0.8148  0.5104  5 O 2.34-2.42
Ca  0.8148  0.7926  0.4896  5 O 2.34-2.42
Ca  0.1852  0.2074  0.4896  5 O 2.34-2.42
Ca  0.7074  0.3148  0.9896  5 O 2.34-2.42
Ca  0.2926  0.6852  0.9896  5 O 2.34-2.42
Ca  0.5000  0.0000  0.0097  8 O 2.38-2.49
Ca  0.5000  0.0000  0.5097  8 O 2.38-2.49
Ca  0.0000  0.5000  0.4903  8 O 2.38-2.49
Ca  0.0000  0.5000  0.9903  8 O 2.38-2.49
H  0.9944  0.2070  0.9343  1 O 0.98
H  0.0056  0.7930  0.9343  1 O 0.98
H  0.2930  0.4944  0.4343  1 O 0.98
H  0.7070  0.5056  0.4343  1 O 0.98
H  0.5056  0.2930  0.5657  1 O 0.98
H  0.4944  0.7070  0.5657  1 O 0.98
H  0.2070  0.0056  0.0657  1 O 0.98
H  0.7930  0.9944  0.0657  1 O 0.98
O  0.3793  0.1417  0.8374  1 Si 1.64, 1 Be 1.66
O  0.6207  0.8583  0.8374  1 Si 1.64, 1 Be 1.66
O  0.3583  0.8793  0.3374  1 Si 1.64, 1 Be 1.66
O  0.6417  0.1207  0.3374  1 Si 1.64, 1 Be 1.66
O  0.1207  0.3583  0.6626  1 Si 1.64, 1 Be 1.66
O  0.8793  0.6417  0.6626  1 Si 1.64, 1 Be 1.66
O  0.1417  0.6207  0.1626  1 Si 1.64, 1 Be 1.66
O  0.8583  0.3793  0.1626  1 Si 1.64, 1 Be 1.66
O  0.6463  0.1253  0.8449  1 Si 1.64, 1 Be 1.65
O  0.3537  0.8747  0.8449  1 Si 1.64, 1 Be 1.65
O  0.3747  0.1463  0.3449  1 Si 1.64, 1 Be 1.65
O  0.6253  0.8537  0.3449  1 Si 1.64, 1 Be 1.65
O  0.8537  0.3747  0.6551  1 Si 1.64, 1 Be 1.65
O  0.1463  0.6253  0.6551  1 Si 1.64, 1 Be 1.65
O  0.1253  0.3537  0.1551  1 Si 1.64, 1 Be 1.65
O  0.8747  0.6463  0.1551  1 Si 1.64, 1 Be 1.65
O  0.5201  0.3632  0.8504  1 Si 1.63, 1 Be 1.65
O  0.4799  0.6368  0.8504  1 Si 1.63, 1 Be 1.65
O  0.1368  0.0201  0.3504  1 Si 1.63, 1 Be 1.65
O  0.8632  0.9799  0.3504  1 Si 1.63, 1 Be 1.65
O  0.9799  0.1368  0.6496  1 Si 1.63, 1 Be 1.65
O  0.0201  0.8632  0.6496  1 Si 1.63, 1 Be 1.65
O  0.3632  0.4799  0.1496  1 Si 1.63, 1 Be 1.65
O  0.6368  0.5201  0.1496  1 Si 1.63, 1 Be 1.65
O  0.1314  0.0267  0.8442  2 Si 1.66
O  0.8686  0.9733  0.8442  2 Si 1.66
O  0.4733  0.6314  0.3442  2 Si 1.66
O  0.5267  0.3686  0.3442  2 Si 1.66
O  0.3686  0.4733  0.6558  2 Si 1.66
O  0.6314  0.5267  0.6558  2 Si 1.66
O  0.0267  0.8686  0.1558  2 Si 1.66
O  0.9733  0.1314  0.1558  2 Si 1.66
O  0.9545  0.2854  0.8872  1 H 0.98
O  0.0455  0.7146  0.8872  1 H 0.98
O  0.2146  0.4545  0.3872  1 H 0.98
O  0.7854  0.5455  0.3872  1 H 0.98
O  0.5455  0.2146  0.6128  1 H 0.98
O  0.4545  0.7854  0.6128  1 H 0.98
O  0.2854  0.0455  0.1128  1 H 0.98
O  0.7146  0.9545  0.1128  1 H 0.98
O  0.7821  0.5186  0.8854  1 Si 1.62
O  0.2179  0.4814  0.8854  1 Si 1.62
O  0.9814  0.2821  0.3854  1 Si 1.62
O  0.0186  0.7179  0.3854  1 Si 1.62
O  0.7179  0.9814  0.6146  1 Si 1.62
O  0.2821  0.0186  0.6146  1 Si 1.62
O  0.5186  0.2179  0.1146  1 Si 1.62
O  0.4814  0.7821  0.1146  1 Si 1.62
Si  0.7121  0.9855  0.7800  4 O 1.62-1.66
Si  0.2879  0.0145  0.7800  4 O 1.62-1.66
Si  0.5145  0.2121  0.2800  4 O 1.62-1.66
Si  0.4855  0.7879  0.2800  4 O 1.62-1.66
Si  0.7879  0.5145  0.7200  4 O 1.62-1.66
Si  0.2121  0.4855  0.7200  4 O 1.62-1.66
Si  0.9855  0.2879  0.2200  4 O 1.62-1.66
Si  0.0145  0.7121  0.2200  4 O 1.62-1.66
Si  0.5000  0.5000  0.7585  4 O 1.63-1.66
Si  0.0000  0.0000  0.2585  4 O 1.63-1.66
Si  0.0000  0.0000  0.7415  4 O 1.63-1.66
Si  0.5000  0.5000  0.2415  4 O 1.63-1.66

Properties
- Electronic total energy: -7.35 eV/atom
- Space-group type: P4_2/n (86)

3.
Ca2HfBe: optimized geometry, PBEsol.

Unit cell a=5.7741 b=6.5123 c=6.5123 alpha=78.67 beta=63.68 gamma=63.68
Closest atoms and distances in Å follow each position.
Positions (direct):
Be  0.5000  0.0000  0.0000  4 Ca 2.70, 2 Hf 2.89
Be  0.2500  0.5000  0.5000  4 Ca 2.70, 2 Hf 2.89
Ca  0.5660  0.0590  0.5590  2 Be 2.70
Ca  0.1840  0.9410  0.4410  2 Be 2.70
Ca  0.3750  0.4410  0.0590  2 Be 2.70
Ca  0.8750  0.5590  0.9410  2 Be 2.70
Hf  0.0000  0.0000  0.0000  2 Be 2.89
Hf  0.7500  0.5000  0.5000  2 Be 2.89

Properties
- Electronic total energy: -3.86 eV/atom
- Space-group type: I-42d (122)
- Energy of formation from the pure elements: 3.32 eV/f.u.

> Which value of electronic total energy does entry 1 give?

-6.61 eV/atom

> Among the records above, which one has the lowest electronic total energy?

Ca3Be2Si3H2O12

> Which of these has the lowest electronic total energy?

Ca3Be2Si3H2O12

> What is the electronic total energy in the third record?

-3.86 eV/atom